A plane-wave DFT calculation with GGA-PBE was carried out for a geometry-optimized La5In11Ni6 structure.

Unit cell a=10.458 b=10.458 c=4.476 alpha=90.00 beta=90.00 gamma=90.00
Fractional coordinates of all 22 atoms:
1 La 0.000 0.000 0.000
2 La 0.189 0.463 0.500
3 La 0.463 0.189 0.500
4 La 0.537 0.811 0.500
5 La 0.811 0.537 0.500
6 In 0.037 0.653 0.000
7 In 0.194 0.806 0.500
8 In 0.225 0.225 0.000
9 In 0.339 0.661 0.000
10 In 0.347 0.963 0.000
11 In 0.500 0.500 0.500
12 In 0.653 0.037 0.000
13 In 0.661 0.339 0.000
14 In 0.775 0.775 0.000
15 In 0.806 0.194 0.500
16 In 0.963 0.347 0.000
17 Ni 0.056 0.223 0.500
18 Ni 0.223 0.056 0.500
19 Ni 0.407 0.407 0.000
20 Ni 0.593 0.593 0.000
21 Ni 0.777 0.944 0.500
22 Ni 0.944 0.777 0.500

- Total energy: -98.0 eV for the cell shown
- Density: 7.83 g/cm³
- Calculated volume: 490 Å³ per cell